# BaMgSe2Br, relaxed, DFT PBE
data_BaMgSe2Br
_chemical_formula_sum 'Ba1 Mg1 Se2 Br1'
_cell_length_a 6.0615
_cell_length_b 6.0615
_cell_length_c 6.0515
_cell_angle_alpha 90.00
_cell_angle_beta 90.00
_cell_angle_gamma 90.00
_symmetry_space_group_name_H-M 'P 4/m m m'
_symmetry_Int_Tables_number 123
_symmetry_space_group_name_Hall '-P 4 2'
loop_
_atom_site_label
_atom_site_fract_x
_atom_site_fract_y
_atom_site_fract_z
_atom_site_occupancy
Ba1 0.0000 0.0000 0.0000 1
Mg1 0.5000 0.5000 0.5000 1
Se1 0.0000 0.5000 0.0000 1
Br1 0.0000 0.0000 0.5000 1
# ΔE_f (raw): -0.26 eV per atom
# final energy: -0.09886 hartree per atom
# energy above the lowest structure with this stoichiometry: 1.079 eV/atom

# BaMgSeBr2, relaxed, DFT PBE
data_BaMgSeBr2
_chemical_formula_sum 'Ba1 Mg1 Se1 Br2'
_cell_length_a 6.0963
_cell_length_b 6.0963
_cell_length_c 6.3750
_cell_angle_alpha 90.00
_cell_angle_beta 90.00
_cell_angle_gamma 90.00
_symmetry_space_group_name_H-M 'P 4/m m m'
_symmetry_Int_Tables_number 123
_symmetry_space_group_name_Hall '-P 4 2'
loop_
_atom_site_label
_atom_site_fract_x
_atom_site_fract_y
_atom_site_fract_z
_atom_site_occupancy
Ba1 0.0000 0.0000 0.0000 1
Mg1 0.5000 0.5000 0.5000 1
Se1 0.0000 0.0000 0.5000 1
Br1 0.0000 0.5000 0.0000 1
# ΔE_f (raw): -0.69 eV per atom
# final energy: -0.10145 hartree per atom
# energy above the lowest structure with this stoichiometry: 0.923 eV/atom

# BaMgSeBr2, relaxed, DFT PBE
data_BaMgSeBr2
_chemical_formula_sum 'Ba1 Mg1 Se1 Br2'
_cell_length_a 5.2470
_cell_length_b 5.2470
_cell_length_c 5.3544
_cell_angle_alpha 90.00
_cell_angle_beta 90.00
_cell_angle_gamma 90.00
_symmetry_space_group_name_H-M 'P 4/m m m'
_symmetry_Int_Tables_number 123
_symmetry_space_group_name_Hall '-P 4 2'
loop_
_atom_site_label
_atom_site_fract_x
_atom_site_fract_y
_atom_site_fract_z
_atom_site_occupancy
Ba1 0.0000 0.0000 0.0000 1
Mg1 0.5000 0.5000 0.5000 1
Se1 0.5000 0.5000 0.0000 1
Br1 0.0000 0.5000 0.5000 1
# ΔE_f (raw): -1.61 eV per atom
# final energy: -0.13537 hartree per atom
# energy above the lowest structure with this stoichiometry: 0.000 eV/atom

# BaMgSn2Br8, relaxed, DFT PBE
data_BaMgSn2Br8
_chemical_formula_sum 'Ba1 Mg1 Sn2 Br8'
_cell_length_a 6.7635
_cell_length_b 7.1081
_cell_length_c 9.1267
_cell_angle_alpha 89.37
_cell_angle_beta 89.86
_cell_angle_gamma 88.30
_symmetry_space_group_name_H-M 'P -1'
_symmetry_Int_Tables_number 2
_symmetry_space_group_name_Hall '-P 1'
loop_
_atom_site_label
_atom_site_fract_x
_atom_site_fract_y
_atom_site_fract_z
_atom_site_occupancy
Ba1 0.0000 0.0000 0.0000 1
Mg1 0.0000 0.0000 0.5000 1
Sn1 0.4900 0.4868 0.2691 1
Br1 0.2188 0.8343 0.2905 1
Br2 0.2414 0.8589 0.7122 1
Br3 0.2431 0.3213 0.4840 1
Br4 0.2746 0.3605 0.0190 1
# ΔE_f (raw): -1.25 eV per atom
# final energy: -0.12212 hartree per atom

# BaMgTa2Br, relaxed, DFT PBE
data_BaMgTa2Br
_chemical_formula_sum 'Ba1 Mg1 Ta2 Br1'
_cell_length_a 5.1105
_cell_length_b 5.1105
_cell_length_c 6.0882
_cell_angle_alpha 90.00
_cell_angle_beta 90.00
_cell_angle_gamma 90.00
_symmetry_space_group_name_H-M 'P 4/m m m'
_symmetry_Int_Tables_number 123
_symmetry_space_group_name_Hall '-P 4 2'
loop_
_atom_site_label
_atom_site_fract_x
_atom_site_fract_y
_atom_site_fract_z
_atom_site_occupancy
Ba1 0.0000 0.0000 0.0000 1
Mg1 0.5000 0.5000 0.5000 1
Ta1 0.0000 0.5000 0.5000 1
Br1 0.5000 0.5000 0.0000 1
# ΔE_f (raw): 1.42 eV per atom
# final energy: -0.16020 hartree per atom

# Ba2MgTlBr, relaxed, DFT PBE
data_Ba2MgTlBr
_chemical_formula_sum 'Ba2 Mg1 Tl1 Br1'
_cell_length_a 6.3340
_cell_length_b 6.3340
_cell_length_c 5.3487
_cell_angle_alpha 90.00
_cell_angle_beta 90.00
_cell_angle_gamma 90.00
_symmetry_space_group_name_H-M 'P 4/m m m'
_symmetry_Int_Tables_number 123
_symmetry_space_group_name_Hall '-P 4 2'
loop_
_atom_site_label
_atom_site_fract_x
_atom_site_fract_y
_atom_site_fract_z
_atom_site_occupancy
Ba1 0.0000 0.5000 0.0000 1
Mg1 0.0000 0.0000 0.5000 1
Tl1 0.5000 0.5000 0.5000 1
Br1 0.0000 0.0000 0.0000 1
# ΔE_f (raw): -0.42 eV per atom
# final energy: -0.08515 hartree per atom

# BaMgTl2Br6, relaxed, DFT PBE
data_BaMgTl2Br6
_chemical_formula_sum 'Ba2 Mg2 Tl4 Br12'
_cell_length_a 7.7590
_cell_length_b 8.2183
_cell_length_c 13.5821
_cell_angle_alpha 90.00
_cell_angle_beta 124.00
_cell_angle_gamma 90.00
_symmetry_space_group_name_H-M 'P 1 21/c 1'
_symmetry_Int_Tables_number 14
_symmetry_space_group_name_Hall '-P 2ybc'
loop_
_atom_site_label
_atom_site_fract_x
_atom_site_fract_y
_atom_site_fract_z
_atom_site_occupancy
Ba1 0.0000 0.0000 0.0000 1
Mg1 0.5000 0.0000 0.5000 1
Tl1 0.2825 0.0779 0.7533 1
Br1 0.1568 0.0351 0.2748 1
Br2 0.2735 0.6751 0.0572 1
Br3 0.3947 0.2187 0.0621 1
# ΔE_f (raw): -1.41 eV per atom
# final energy: -0.11910 hartree per atom

# BaY2MgBr, relaxed, DFT PBE
data_BaY2MgBr
_chemical_formula_sum 'Ba1 Y2 Mg1 Br1'
_cell_length_a 5.6967
_cell_length_b 5.6967
_cell_length_c 6.8911
_cell_angle_alpha 90.00
_cell_angle_beta 90.00
_cell_angle_gamma 90.00
_symmetry_space_group_name_H-M 'P 4/m m m'
_symmetry_Int_Tables_number 123
_symmetry_space_group_name_Hall '-P 4 2'
loop_
_atom_site_label
_atom_site_fract_x
_atom_site_fract_y
_atom_site_fract_z
_atom_site_occupancy
Ba1 0.0000 0.0000 0.0000 1
Y1 0.0000 0.5000 0.5000 1
Mg1 0.0000 0.0000 0.5000 1
Br1 0.5000 0.5000 0.0000 1
# ΔE_f (raw): 0.24 eV per atom
# final energy: -0.12443 hartree per atom

# BaMg2ZnBr8, relaxed, DFT PBE
data_BaMg2ZnBr8
_chemical_formula_sum 'Ba1 Mg2 Zn1 Br8'
_cell_length_a 6.5346
_cell_length_b 6.8253
_cell_length_c 8.4534
_cell_angle_alpha 89.92
_cell_angle_beta 89.92
_cell_angle_gamma 86.75
_symmetry_space_group_name_H-M 'P -1'
_symmetry_Int_Tables_number 2
_symmetry_space_group_name_Hall '-P 1'
loop_
_atom_site_label
_atom_site_fract_x
_atom_site_fract_y
_atom_site_fract_z
_atom_site_occupancy
Ba1 0.0000 0.0000 0.0000 1
Mg1 0.4997 0.4994 0.7301 1
Zn1 0.0000 0.0000 0.5000 1
Br1 0.2474 0.8378 0.7080 1
Br2 0.2485 0.8385 0.2916 1
Br3 0.2689 0.3482 0.4999 1
Br4 0.2936 0.3666 0.9998 1
# ΔE_f (raw): -1.37 eV per atom
# final energy: -0.11072 hartree per atom

# BaMn2Br, relaxed, DFT PBE
data_BaMn2Br
_chemical_formula_sum 'Ba4 Mn8 Br4'
_cell_length_a 7.7822
_cell_length_b 7.7822
_cell_length_c 7.7822
_cell_angle_alpha 90.00
_cell_angle_beta 90.00
_cell_angle_gamma 90.00
_symmetry_space_group_name_H-M 'F m -3 m'
_symmetry_Int_Tables_number 225
_symmetry_space_group_name_Hall '-F 4 2 3'
loop_
_atom_site_label
_atom_site_fract_x
_atom_site_fract_y
_atom_site_fract_z
_atom_site_occupancy
Ba1 0.0000 0.0000 0.0000 1
Mn1 0.2500 0.2500 0.2500 1
Br1 0.0000 0.0000 0.5000 1
# ΔE_f (raw): 0.69 eV per atom
# final energy: -0.17631 hartree per atom
# energy above the lowest structure with this stoichiometry: 0.653 eV/atom

# BaMn2Br, relaxed, DFT PBE
data_BaMn2Br
_chemical_formula_sum 'Ba2 Mn4 Br2'
_cell_length_a 5.4223
_cell_length_b 5.4223
_cell_length_c 7.7168
_cell_angle_alpha 90.00
_cell_angle_beta 90.00
_cell_angle_gamma 90.00
_symmetry_space_group_name_H-M 'I -4 m 2'
_symmetry_Int_Tables_number 119
_symmetry_space_group_name_Hall 'I -4 -2'
loop_
_atom_site_label
_atom_site_fract_x
_atom_site_fract_y
_atom_site_fract_z
_atom_site_occupancy
Ba1 0.0000 0.0000 0.0000 1
Mn1 0.0000 0.0000 0.5000 1
Mn2 0.0000 0.5000 0.2500 1
Br1 0.0000 0.5000 0.7500 1
# ΔE_f (raw): 0.37 eV per atom
# final energy: -0.18790 hartree per atom
# energy above the lowest structure with this stoichiometry: 0.337 eV/atom

# BaMnBr2, relaxed, DFT PBE
data_BaMnBr2
_chemical_formula_sum 'Ba3 Mn3 Br6'
_cell_length_a 6.0765
_cell_length_b 6.0765
_cell_length_c 11.6494
_cell_angle_alpha 90.00
_cell_angle_beta 90.00
_cell_angle_gamma 120.00
_symmetry_space_group_name_H-M 'R -3 m'
_symmetry_Int_Tables_number 166
_symmetry_space_group_name_Hall '-R 3 2"'
loop_
_atom_site_label
_atom_site_fract_x
_atom_site_fract_y
_atom_site_fract_z
_atom_site_occupancy
Ba1 0.0000 0.0000 0.0000 1
Mn1 0.0000 0.0000 0.5000 1
Br1 0.0000 0.0000 0.2942 1
# ΔE_f (raw): -0.69 eV per atom
# final energy: -0.15804 hartree per atom
# energy above the lowest structure with this stoichiometry: 0.101 eV/atom

# BaMn2Br, relaxed, DFT PBE
data_BaMn2Br
_chemical_formula_sum 'Ba2 Mn4 Br2'
_cell_length_a 3.5940
_cell_length_b 5.2669
_cell_length_c 11.7618
_cell_angle_alpha 90.00
_cell_angle_beta 90.00
_cell_angle_gamma 90.00
_symmetry_space_group_name_H-M 'I m m m'
_symmetry_Int_Tables_number 71
_symmetry_space_group_name_Hall '-I 2 2'
loop_
_atom_site_label
_atom_site_fract_x
_atom_site_fract_y
_atom_site_fract_z
_atom_site_occupancy
Ba1 0.0000 0.0000 0.0000 1
Mn1 0.0000 0.5000 0.2365 1
Br1 0.0000 0.0000 0.5000 1
# ΔE_f (raw): 0.24 eV per atom
# final energy: -0.19265 hartree per atom
# energy above the lowest structure with this stoichiometry: 0.208 eV/atom

# Ba2MnBr6, relaxed, DFT PBE
data_Ba2MnBr6
_chemical_formula_sum 'Ba4 Mn2 Br12'
_cell_length_a 7.1658
_cell_length_b 7.1658
_cell_length_c 13.9195
_cell_angle_alpha 90.00
_cell_angle_beta 90.00
_cell_angle_gamma 90.00
_symmetry_space_group_name_H-M 'P 42/m n m'
_symmetry_Int_Tables_number 136
_symmetry_space_group_name_Hall '-P 4n 2n'
loop_
_atom_site_label
_atom_site_fract_x
_atom_site_fract_y
_atom_site_fract_z
_atom_site_occupancy
Ba1 0.0000 0.0000 0.1664 1
Mn1 0.0000 0.0000 0.5000 1
Br1 0.1822 0.1822 0.3585 1
Br2 0.2254 0.2254 0.0000 1
# ΔE_f (raw): -1.66 eV per atom
# final energy: -0.15497 hartree per atom
# energy above the lowest structure with this stoichiometry: 0.076 eV/atom

# BaMn2Br, relaxed, DFT PBE
data_BaMn2Br
_chemical_formula_sum 'Ba3 Mn6 Br3'
_cell_length_a 3.7307
_cell_length_b 3.7307
_cell_length_c 28.9763
_cell_angle_alpha 90.00
_cell_angle_beta 90.00
_cell_angle_gamma 120.00
_symmetry_space_group_name_H-M 'R -3 m'
_symmetry_Int_Tables_number 166
_symmetry_space_group_name_Hall '-R 3 2"'
loop_
_atom_site_label
_atom_site_fract_x
_atom_site_fract_y
_atom_site_fract_z
_atom_site_occupancy
Ba1 0.0000 0.0000 0.0000 1
Mn1 0.0000 0.0000 0.2364 1
Br1 0.0000 0.0000 0.5000 1
# ΔE_f (raw): 0.53 eV per atom
# final energy: -0.18215 hartree per atom
# energy above the lowest structure with this stoichiometry: 0.494 eV/atom

# BaMnBr2, relaxed, DFT PBE
data_BaMnBr2
_chemical_formula_sum 'Ba1 Mn1 Br2'
_cell_length_a 4.2512
_cell_length_b 4.2512
_cell_length_c 7.0275
_cell_angle_alpha 90.00
_cell_angle_beta 90.00
_cell_angle_gamma 90.00
_symmetry_space_group_name_H-M 'P 4 m m'
_symmetry_Int_Tables_number 99
_symmetry_space_group_name_Hall 'P 4 -2'
loop_
_atom_site_label
_atom_site_fract_x
_atom_site_fract_y
_atom_site_fract_z
_atom_site_occupancy
Ba1 0.0000 0.0000 0.0000 1
Mn1 0.5000 0.5000 0.6322 1
Br1 0.0000 0.0000 0.5391 1
Br2 0.5000 0.5000 0.2309 1
# ΔE_f (raw): -0.73 eV per atom
# final energy: -0.15946 hartree per atom
# energy above the lowest structure with this stoichiometry: 0.063 eV/atom

# BaMn2Br, relaxed, DFT PBE
data_BaMn2Br
_chemical_formula_sum 'Ba2 Mn4 Br2'
_cell_length_a 4.4171
_cell_length_b 4.4171
_cell_length_c 12.6408
_cell_angle_alpha 90.00
_cell_angle_beta 90.00
_cell_angle_gamma 90.00
_symmetry_space_group_name_H-M 'I 4/m m m'
_symmetry_Int_Tables_number 139
_symmetry_space_group_name_Hall '-I 4 2'
loop_
_atom_site_label
_atom_site_fract_x
_atom_site_fract_y
_atom_site_fract_z
_atom_site_occupancy
Ba1 0.0000 0.0000 0.0000 1
Mn1 0.0000 0.5000 0.2500 1
Br1 0.0000 0.0000 0.5000 1
# ΔE_f (raw): 0.27 eV per atom
# final energy: -0.19148 hartree per atom
# energy above the lowest structure with this stoichiometry: 0.240 eV/atom

# Ba2MnBr6, relaxed, DFT PBE
data_Ba2MnBr6
_chemical_formula_sum 'Ba4 Mn2 Br12'
_cell_length_a 7.2163
_cell_length_b 8.3963
_cell_length_c 12.3393
_cell_angle_alpha 90.00
_cell_angle_beta 124.24
_cell_angle_gamma 90.00
_symmetry_space_group_name_H-M 'P 1 21/c 1'
_symmetry_Int_Tables_number 14
_symmetry_space_group_name_Hall '-P 2ybc'
loop_
_atom_site_label
_atom_site_fract_x
_atom_site_fract_y
_atom_site_fract_z
_atom_site_occupancy
Ba1 0.2188 0.1073 0.2557 1
Mn1 0.5000 0.0000 0.0000 1
Br1 0.1354 0.1622 0.9500 1
Br2 0.2890 0.7058 0.9473 1
Br3 0.3527 0.0228 0.7502 1
# ΔE_f (raw): -1.73 eV per atom
# final energy: -0.15776 hartree per atom
# energy above the lowest structure with this stoichiometry: 0.000 eV/atom

# Ba4MnBr, relaxed, DFT PBE
data_Ba4MnBr
_chemical_formula_sum 'Ba16 Mn4 Br4'
_cell_length_a 10.6498
_cell_length_b 10.6498
_cell_length_c 10.6498
_cell_angle_alpha 90.00
_cell_angle_beta 90.00
_cell_angle_gamma 90.00
_symmetry_space_group_name_H-M 'F -4 3 m'
_symmetry_Int_Tables_number 216
_symmetry_space_group_name_Hall 'F -4 2 3'
loop_
_atom_site_label
_atom_site_fract_x
_atom_site_fract_y
_atom_site_fract_z
_atom_site_occupancy
Ba1 0.1243 0.1243 0.3757 1
Mn1 0.2500 0.2500 0.7500 1
Br1 0.0000 0.0000 0.0000 1
# ΔE_f (raw): 0.43 eV per atom
# final energy: -0.09774 hartree per atom

# BaMnBr2, relaxed, DFT PBE
data_BaMnBr2
_chemical_formula_sum 'Ba3 Mn3 Br6'
_cell_length_a 4.8174
_cell_length_b 4.8174
_cell_length_c 30.6339
_cell_angle_alpha 90.00
_cell_angle_beta 90.00
_cell_angle_gamma 120.00
_symmetry_space_group_name_H-M 'R -3 m'
_symmetry_Int_Tables_number 166
_symmetry_space_group_name_Hall '-R 3 2"'
loop_
_atom_site_label
_atom_site_fract_x
_atom_site_fract_y
_atom_site_fract_z
_atom_site_occupancy
Ba1 0.0000 0.0000 0.0000 1
Mn1 0.0000 0.0000 0.5000 1
Br1 0.0000 0.0000 0.2793 1
# ΔE_f (raw): -0.69 eV per atom
# final energy: -0.15813 hartree per atom
# energy above the lowest structure with this stoichiometry: 0.099 eV/atom